w:
A plane-wave DFT calculation with GGA-PBE was carried out for a geometry-optimized TlZnCu3 structure. Values from VASP.

- calculated density (g cm⁻³) = 6.40
- DOS(E_F) (states/eV/atom) = 0.519

```
&SYSTEM
  ibrav = 0, nat = 5, ntyp = 3
/
ATOMIC_SPECIES
Tl 204.38 Tl.upf
Zn 65.41 Zn.upf
Cu 63.55 Cu.upf
ATOMIC_POSITIONS angstrom
Tl 0.000 0.000 0.000
Zn 2.462 2.462 2.462
Cu 0.000 0.000 2.462
Cu 0.000 2.462 0.000
Cu 2.462 0.000 0.000
CELL_PARAMETERS angstrom
4.924 0.000 0.000
0.000 4.924 0.000
0.000 0.000 4.924
```



x:
A plane-wave DFT calculation with GGA-PBE was carried out for a geometry-optimized TlZnCu3 structure. Values from VASP.

- calculated density (g cm⁻³) = 7.96
- DOS(E_F) (states/eV/atom) = 0.359

```
&SYSTEM
  ibrav = 0, nat = 5, ntyp = 3
/
ATOMIC_SPECIES
Tl 204.38 Tl.upf
Zn 65.41 Zn.upf
Cu 63.55 Cu.upf
ATOMIC_POSITIONS angstrom
Tl 0.000 0.000 0.000
Zn 2.290 2.290 2.290
Cu 0.000 2.290 2.290
Cu 2.290 0.000 2.290
Cu 2.290 2.290 0.000
CELL_PARAMETERS angstrom
4.580 0.000 0.000
0.000 4.580 0.000
0.000 0.000 4.580
```



In terms of stability, x leads; the second structure lies 0.463 eV/atom higher.



w:
A plane-wave DFT calculation with GGA-PBE was carried out for a geometry-optimized Tl3ZnCu structure. Values from VASP.

- calculated density (g cm⁻³) = 8.46
- DOS(E_F) (states/eV/atom) = 0.653

```
&SYSTEM
  ibrav = 0, nat = 5, ntyp = 3
/
ATOMIC_SPECIES
Tl 204.38 Tl.upf
Zn 65.41 Zn.upf
Cu 63.55 Cu.upf
ATOMIC_POSITIONS angstrom
Tl 0.000 0.000 2.631
Tl 0.000 2.631 0.000
Tl 2.631 0.000 0.000
Zn 2.631 2.631 2.631
Cu 0.000 0.000 0.000
CELL_PARAMETERS angstrom
5.261 0.000 0.000
0.000 5.261 0.000
0.000 0.000 5.261
```



x:
A plane-wave DFT calculation with GGA-PBE was carried out for a geometry-optimized Tl3ZnCu structure. Values from VASP.

- calculated density (g cm⁻³) = 8.06
- DOS(E_F) (states/eV/atom) = 0.541

```
&SYSTEM
  ibrav = 0, nat = 5, ntyp = 3
/
ATOMIC_SPECIES
Tl 204.38 Tl.upf
Zn 65.41 Zn.upf
Cu 63.55 Cu.upf
ATOMIC_POSITIONS angstrom
Tl 0.000 0.000 2.674
Tl 0.000 2.674 0.000
Tl 2.674 0.000 0.000
Zn 0.000 0.000 0.000
Cu 2.674 2.674 2.674
CELL_PARAMETERS angstrom
5.348 0.000 0.000
0.000 5.348 0.000
0.000 0.000 5.348
```



In terms of stability, w leads; the second structure lies 0.254 eV/atom higher.



w:
A plane-wave DFT calculation with GGA-PBE was carried out for a geometry-optimized ZrTl2Cu2 structure. Values from VASP.

- calculated density (g cm⁻³) = 10.66
- DOS(E_F) (states/eV/atom) = 0.727

```
&SYSTEM
  ibrav = 0, nat = 10, ntyp = 3
/
ATOMIC_SPECIES
Zr 91.22 Zr.upf
Tl 204.38 Tl.upf
Cu 63.55 Cu.upf
ATOMIC_POSITIONS angstrom
Zr 0.000 0.000 0.000
Zr 3.687 3.687 0.000
Tl 1.337 2.350 1.796
Tl 2.350 6.037 1.796
Tl 5.025 1.337 1.796
Tl 6.037 5.025 1.796
Cu 0.875 4.563 0.000
Cu 2.812 0.875 0.000
Cu 4.563 6.499 0.000
Cu 6.499 2.812 0.000
CELL_PARAMETERS angstrom
7.375 0.000 0.000
0.000 7.375 0.000
0.000 0.000 3.591
```



x:
A plane-wave DFT calculation with GGA-PBE was carried out for a geometry-optimized ZrTl2Cu2 structure. Values from VASP.

- calculated density (g cm⁻³) = 10.32
- DOS(E_F) (states/eV/atom) = 0.668

```
&SYSTEM
  ibrav = 0, nat = 5, ntyp = 3
/
ATOMIC_SPECIES
Zr 91.22 Zr.upf
Tl 204.38 Tl.upf
Cu 63.55 Cu.upf
ATOMIC_POSITIONS angstrom
Zr 0.000 0.000 0.000
Tl 0.000 0.000 4.911
Tl 0.000 0.000 7.768
Cu 1.995 0.000 3.170
Cu 0.000 1.995 3.170
CELL_PARAMETERS angstrom
-1.995 1.995 6.339
1.995 -1.995 6.339
1.995 1.995 -6.339
```



In terms of stability, w leads; the second structure lies 0.144 eV/atom higher.



w:
A plane-wave DFT calculation with GGA-PBE was carried out for a geometry-optimized ZrTl3Cu structure. Values from VASP.

- calculated density (g cm⁻³) = 6.90
- DOS(E_F) (states/eV/atom) = 1.166

```
&SYSTEM
  ibrav = 0, nat = 5, ntyp = 3
/
ATOMIC_SPECIES
Zr 91.22 Zr.upf
Tl 204.38 Tl.upf
Cu 63.55 Cu.upf
ATOMIC_POSITIONS angstrom
Zr 0.000 0.000 0.000
Tl 0.000 0.000 2.848
Tl 0.000 2.848 0.000
Tl 2.848 0.000 0.000
Cu 2.848 2.848 2.848
CELL_PARAMETERS angstrom
5.695 0.000 0.000
0.000 5.695 0.000
0.000 0.000 5.695
```



x:
A plane-wave DFT calculation with GGA-PBE was carried out for a geometry-optimized ZrTl3Cu structure. Values from VASP.

- calculated density (g cm⁻³) = 9.78
- DOS(E_F) (states/eV/atom) = 0.529

```
&SYSTEM
  ibrav = 0, nat = 5, ntyp = 3
/
ATOMIC_SPECIES
Zr 91.22 Zr.upf
Tl 204.38 Tl.upf
Cu 63.55 Cu.upf
ATOMIC_POSITIONS angstrom
Zr 0.000 0.000 0.000
Tl 0.000 2.535 2.535
Tl 2.535 0.000 2.535
Tl 2.535 2.535 0.000
Cu 2.535 2.535 2.535
CELL_PARAMETERS angstrom
5.071 0.000 0.000
0.000 5.071 0.000
0.000 0.000 5.071
```



In terms of stability, x leads; the second structure lies 0.347 eV/atom higher.



w:
A plane-wave DFT calculation with GGA-PBE was carried out for a geometry-optimized Zr2Tl2Cu structure. Values from VASP.

- calculated density (g cm⁻³) = 9.29
- DOS(E_F) (states/eV/atom) = 1.134

```
&SYSTEM
  ibrav = 0, nat = 10, ntyp = 3
/
ATOMIC_SPECIES
Zr 91.22 Zr.upf
Tl 204.38 Tl.upf
Cu 63.55 Cu.upf
ATOMIC_POSITIONS angstrom
Zr 1.094 2.432 0.000
Zr 2.432 5.957 0.000
Zr 4.619 1.094 0.000
Zr 5.957 4.619 0.000
Tl 1.126 4.651 2.354
Tl 2.399 1.126 2.354
Tl 4.651 5.925 2.354
Tl 5.925 2.399 2.354
Cu 0.000 0.000 0.000
Cu 3.525 3.525 0.000
CELL_PARAMETERS angstrom
7.051 0.000 0.000
0.000 7.051 0.000
0.000 0.000 4.708
```



x:
A plane-wave DFT calculation with GGA-PBE was carried out for a geometry-optimized Zr2Tl2Cu structure. Values from VASP.

- calculated density (g cm⁻³) = 9.86
- DOS(E_F) (states/eV/atom) = 0.570

```
&SYSTEM
  ibrav = 0, nat = 10, ntyp = 3
/
ATOMIC_SPECIES
Zr 91.22 Zr.upf
Tl 204.38 Tl.upf
Cu 63.55 Cu.upf
ATOMIC_POSITIONS angstrom
Zr 1.135 2.348 0.000
Zr 2.348 5.831 0.000
Zr 4.617 1.135 0.000
Zr 5.831 4.617 0.000
Tl 1.033 4.516 2.273
Tl 2.449 1.033 2.273
Tl 4.516 5.932 2.273
Tl 5.932 2.449 2.273
Cu 0.000 0.000 2.273
Cu 3.483 3.483 2.273
CELL_PARAMETERS angstrom
6.965 0.000 0.000
0.000 6.965 0.000
0.000 0.000 4.547
```



In terms of stability, x leads; the second structure lies 0.067 eV/atom higher.



w:
A plane-wave DFT calculation with GGA-PBE was carried out for a geometry-optimized Tm3Cu2 structure. Values from VASP.

- calculated density (g cm⁻³) = 9.05
- DOS(E_F) (states/eV/atom) = 1.063

```
&SYSTEM
  ibrav = 0, nat = 15, ntyp = 2
/
ATOMIC_SPECIES
Tm 168.93 Tm.upf
Cu 63.55 Cu.upf
ATOMIC_POSITIONS angstrom
Tm 0.000 0.000 0.000
Tm 0.029 0.000 6.748
Tm 4.716 0.000 3.296
Tm 4.787 0.000 10.039
Tm 4.874 0.000 6.682
Tm 9.510 0.000 3.456
Tm 9.597 0.000 0.099
Tm 9.668 0.000 6.843
Tm 14.355 0.000 3.391
Cu 2.377 0.000 8.445
Cu 2.437 0.000 5.134
Cu 7.119 0.000 1.675
Cu 7.265 0.000 8.463
Cu 11.946 0.000 5.004
Cu 12.007 0.000 1.694
CELL_PARAMETERS angstrom
7.194 -2.391 0.000
7.194 2.391 0.000
-0.005 0.000 10.138
```



x:
A plane-wave DFT calculation with GGA-PBE was carried out for a geometry-optimized Tm3Cu2 structure. Values from VASP.

- calculated density (g cm⁻³) = 9.59
- DOS(E_F) (states/eV/atom) = 0.822

```
&SYSTEM
  ibrav = 0, nat = 10, ntyp = 2
/
ATOMIC_SPECIES
Tm 168.93 Tm.upf
Cu 63.55 Cu.upf
ATOMIC_POSITIONS angstrom
Tm 0.000 0.000 0.000
Tm 0.000 0.000 3.445
Tm 0.000 0.000 6.850
Tm 0.000 0.000 11.898
Tm 0.000 0.000 15.303
Tm 1.711 1.711 9.374
Cu 1.711 1.711 1.710
Cu 1.711 1.711 5.149
Cu 1.711 1.711 13.599
Cu 1.711 1.711 17.038
CELL_PARAMETERS angstrom
3.422 0.000 0.000
0.000 3.422 0.000
0.000 0.000 18.748
```



In terms of stability, x leads; the second structure lies 0.109 eV/atom higher.



w:
A plane-wave DFT calculation with GGA-PBE was carried out for a geometry-optimized Tm2VCu structure. Values from VASP.

- calculated density (g cm⁻³) = 8.96
- DOS(E_F) (states/eV/atom) = 0.638

```
&SYSTEM
  ibrav = 0, nat = 4, ntyp = 3
/
ATOMIC_SPECIES
Tm 168.93 Tm.upf
V 50.94 V.upf
Cu 63.55 Cu.upf
ATOMIC_POSITIONS angstrom
Tm 0.000 0.000 1.676
Tm 0.000 0.000 5.111
V 1.758 1.758 3.394
Cu 1.758 1.758 0.000
CELL_PARAMETERS angstrom
3.515 0.000 0.000
0.000 3.515 0.000
0.000 0.000 6.788
```



x:
A plane-wave DFT calculation with GGA-PBE was carried out for a geometry-optimized Tm2VCu structure. Values from VASP.

- calculated density (g cm⁻³) = 8.66
- DOS(E_F) (states/eV/atom) = 0.990

```
&SYSTEM
  ibrav = 0, nat = 4, ntyp = 3
/
ATOMIC_SPECIES
Tm 168.93 Tm.upf
V 50.94 V.upf
Cu 63.55 Cu.upf
ATOMIC_POSITIONS angstrom
Tm 0.000 0.000 6.539
Tm 0.000 0.000 19.833
V 0.000 0.000 0.000
Cu 0.000 0.000 13.186
CELL_PARAMETERS angstrom
1.688 0.975 8.791
-1.688 0.975 8.791
0.000 -1.949 8.791
```



In terms of stability, w leads; the second structure lies 0.274 eV/atom higher.



w:
A plane-wave DFT calculation with GGA-PBE was carried out for a geometry-optimized Y2TmCu structure. Values from VASP.

- calculated density (g cm⁻³) = 6.45
- DOS(E_F) (states/eV/atom) = 1.358

```
&SYSTEM
  ibrav = 0, nat = 4, ntyp = 3
/
ATOMIC_SPECIES
Y 88.91 Y.upf
Tm 168.93 Tm.upf
Cu 63.55 Cu.upf
ATOMIC_POSITIONS angstrom
Y 0.000 0.000 1.742
Y 0.000 0.000 6.934
Tm 1.745 1.745 4.338
Cu 1.745 1.745 0.000
CELL_PARAMETERS angstrom
3.490 0.000 0.000
0.000 3.490 0.000
0.000 0.000 8.676
```



x:
A plane-wave DFT calculation with GGA-PBE was carried out for a geometry-optimized Y2TmCu structure. Values from VASP.

- calculated density (g cm⁻³) = 6.12
- DOS(E_F) (states/eV/atom) = 1.189

```
&SYSTEM
  ibrav = 0, nat = 4, ntyp = 3
/
ATOMIC_SPECIES
Y 88.91 Y.upf
Tm 168.93 Tm.upf
Cu 63.55 Cu.upf
ATOMIC_POSITIONS angstrom
Y 0.000 0.000 0.000
Y 0.000 0.000 5.702
Tm 0.000 0.000 22.104
Cu 0.000 0.000 17.318
CELL_PARAMETERS angstrom
1.827 1.055 9.636
-1.827 1.055 9.636
0.000 -2.109 9.636
```



y:
A plane-wave DFT calculation with GGA-PBE was carried out for a geometry-optimized Y2TmCu structure. Values from VASP.

- calculated density (g cm⁻³) = 6.37
- DOS(E_F) (states/eV/atom) = 1.062

```
&SYSTEM
  ibrav = 0, nat = 16, ntyp = 3
/
ATOMIC_SPECIES
Y 88.91 Y.upf
Tm 168.93 Tm.upf
Cu 63.55 Cu.upf
ATOMIC_POSITIONS angstrom
Y 1.322 0.580 1.230
Y 1.322 4.244 1.230
Y 2.093 5.403 4.479
Y 2.093 9.067 4.479
Y 4.736 0.580 2.019
Y 4.736 4.244 2.019
Y 5.507 5.403 5.269
Y 5.507 9.067 5.269
Tm 0.152 2.412 4.101
Tm 3.262 7.235 0.852
Tm 3.567 2.412 5.647
Tm 6.677 7.235 2.398
Cu 0.635 7.235 6.239
Cu 2.779 2.412 2.990
Cu 4.050 7.235 3.509
Cu 6.194 2.412 0.260
CELL_PARAMETERS angstrom
6.829 0.000 0.000
0.000 9.647 0.000
0.000 0.000 6.499
```



In terms of stability, y leads; the second structure lies 0.033 eV/atom higher.